Entry 1:
A geometry-optimized CsMgHSe2 structure. Source: the Alexandria database, functional PBE.

Structure (extended XYZ):
```
10
Lattice="5.6941 0.0000 0.0000 0.0000 6.7318 0.0000 0.0000 -3.3659 7.2018" Properties=species:S:1:pos:R:3 pbc="T T T"
Cs 4.2710 0.0000 3.6009
Cs 1.4232 3.3659 3.6009
Se 1.3088 0.0000 5.9359
Se 4.3853 3.3659 1.2659
Se 1.3088 0.0000 1.2659
Se 4.3853 3.3659 5.9359
H 0.0000 3.3659 0.0000
H 0.0000 0.0000 0.0000
Mg 2.8471 5.0488 0.0000
Mg 2.8471 1.6829 0.0000
```

Computed properties:
Fermi-level density of states = 0.0 states/eV/cell
Total DFT energy (no corrections) = -34.330 eV/cell



Entry 2:
A geometry-optimized TbCe5 structure. Source: the Alexandria database, functional PBE.

Structure (extended XYZ):
```
6
Lattice="-1.1648 -2.5196 1.8865 1.2962 -2.2170 -2.1608 12.4677 -0.0925 7.5739" Properties=species:S:1:pos:R:3 pbc="T T T"
Ce 6.2339 -0.0463 3.7869
Ce 8.2967 -2.4294 4.8630
Ce 4.3025 -2.3997 2.4366
Ce 2.2395 -0.0166 1.3605
Ce 9.0635 -2.5955 8.0999
Tb 0.0657 -2.3683 -0.1371
```

Computed properties:
ΔE_f = 0.04 eV/atom
Fermi-level density of states = 13.6 states/eV/cell
Total DFT energy (no corrections) = -34.068 eV/cell



Entry 3:
A geometry-optimized Cr5C3 structure. Source: the Alexandria database, functional PBE.

Structure (extended XYZ):
```
16
Lattice="6.0006 0.0000 0.0000 -3.0003 5.1966 0.0000 0.0000 0.0000 4.5212" Properties=species:S:1:pos:R:3 pbc="T T T"
C -1.1522 1.9957 3.3909
C 3.6961 0.0000 1.1303
C 1.1523 1.9957 1.1303
C -1.8480 3.2009 1.1303
C 1.8481 3.2009 3.3909
C 2.3045 0.0000 3.3909
Cr 1.4787 0.0000 1.1303
Cr 3.0003 1.7322 0.0000
Cr 3.0003 1.7322 2.2606
Cr 4.5221 0.0000 3.3909
Cr 0.7394 1.2804 3.3909
Cr 2.2610 3.9161 1.1303
Cr -0.7393 1.2805 1.1303
Cr 0.0000 3.4644 0.0000
Cr -2.2610 3.9161 3.3909
Cr 0.0000 3.4644 2.2606
```

Computed properties:
ΔE_f = 0.11 eV/atom
Fermi-level density of states = 17.7 states/eV/cell
Total DFT energy (no corrections) = -149.875 eV/cell